Entry 1:
Material: ScVCuOs
Method: DFT, PBE
State: relaxed

It has space group F-43m (No. 216), with a = 6.227 Å, b = 6.227 Å, c = 6.227 Å, α = 90.00°, β = 90.00° and γ = 90.00°. The asymmetric unit holds Sc at (0.000, 0.000, 0.000), V at (0.000, 0.000, 0.500), Cu at (0.250, 0.250, 0.750) and Os at (0.250, 0.250, 0.250).

The total magnetization comes out at 3.5 Bohr magnetons per cell. The formation energy is -3.56 kcal/mol of atoms. Its density of states at the Fermi level is 11.24 states/eV/cell.

***

Entry 2:
Material: Sr2ZnF
Method: DFT, PBE
State: relaxed

It has space group R-3m (No. 166, hexagonal axes), with a = 3.9966 Å, b = 3.9966 Å, c = 29.0967 Å, α = 90.00°, β = 90.00° and γ = 120.00°. The asymmetric unit holds Sr at (0.0000, 0.0000, 0.1111), Zn at (0.0000, 0.0000, 0.0000) and F at (0.0000, 0.0000, 0.5000).

The total magnetization comes out at 3.6 Bohr magnetons per cell. For the energy relative to the elements, uncorrected, the calculation gives -0.94 eV/atom. Its density of states at the Fermi level is 9.03 states/eV/cell.

***

Entry 3:
Material: Ce2IrPt
Method: DFT, PBE
State: relaxed

It has space group P4/mmm (No. 123), with a = 3.522 Å, b = 3.522 Å, c = 7.092 Å, α = 90.00°, β = 90.00° and γ = 90.00°. The asymmetric unit holds Ce at (0.000, 0.000, 0.241), Ir at (0.500, 0.500, 0.000) and Pt at (0.500, 0.500, 0.500).

The total magnetization comes out at 1.4 Bohr magnetons per cell. The formation energy is -18.87 kcal/mol of atoms. Its density of states at the Fermi level is 9.57 states/eV/cell.

***

Entry 4:
Material: HgAsP2Cl
Method: DFT, PBE
State: relaxed

It has space group P4/mmm (No. 123), with a = 4.798 Å, b = 4.798 Å, c = 5.569 Å, α = 90.00°, β = 90.00° and γ = 90.00°. The asymmetric unit holds Hg at (0.000, 0.000, 0.000), As at (0.000, 0.000, 0.500), P at (0.000, 0.500, 0.500) and Cl at (0.500, 0.500, 0.000).

The total magnetization comes out at 1.6 Bohr magnetons per cell. For the energy relative to the elements, uncorrected, the calculation gives 0.76 eV/atom. Its density of states at the Fermi level is 3.73 states/eV/cell.

***

Entry 5:
Material: TbY2Ag4
Method: DFT, PBE
State: relaxed

It has space group I4/mmm (No. 139), with a = 7.173 Å, b = 7.173 Å, c = 7.156 Å, α = 90.00°, β = 90.00° and γ = 90.00°. The asymmetric unit holds Tb at (0.000, 0.000, 0.000), Y at (0.000, 0.500, 0.000) and Ag at (0.250, 0.250, 0.250).

The total magnetization comes out at 0.0 Bohr magnetons per cell. The formation energy is -2.18 kcal/mol of atoms. Its density of states at the Fermi level is 8.69 states/eV/cell.

***

Entry 6:
Material: BaAcInPb
Method: DFT, PBE
State: relaxed

It has space group F-43m (No. 216), with a = 8.417 Å, b = 8.417 Å, c = 8.417 Å, α = 90.00°, β = 90.00° and γ = 90.00°. The asymmetric unit holds Ba at (0.000, 0.000, 0.000), Ac at (0.000, 0.000, 0.500), In at (0.250, 0.250, 0.250) and Pb at (0.250, 0.250, 0.750).

The total magnetization comes out at 0.0 Bohr magnetons per cell. The formation energy is -9.70 kcal/mol of atoms. Its density of states at the Fermi level is 10.37 states/eV/cell.

***

Entry 7:
Material: Pm2Dy2HoTm2
Method: DFT, PBE
State: relaxed

It has space group R-3m (No. 166, hexagonal axes), with a = 5.6620 Å, b = 5.6620 Å, c = 24.3536 Å, α = 90.00°, β = 90.00° and γ = 120.00°. The asymmetric unit holds Pm at (0.0000, 0.0000, 0.1386), Dy at (0.0000, 0.0000, 0.2843), Ho at (0.0000, 0.0000, 0.0000) and Tm at (0.0000, 0.0000, 0.4269).

The total magnetization comes out at 0.0 Bohr magnetons per cell. The formation energy is 3.25 kcal/mol of atoms. Its density of states at the Fermi level is 51.93 states/eV/cell.

***

Entry 8:
Material: ZnAgOs2
Method: DFT, PBE
State: relaxed

It has space group C2/m (No. 12), with a = 10.682 Å, b = 2.779 Å, c = 4.435 Å, α = 90.00°, β = 111.87° and γ = 90.00°. The asymmetric unit holds Zn at (0.000, 0.000, 0.000), Ag at (0.000, 0.500, 0.500) and Os at (0.219, 0.500, 0.221).

The total magnetization comes out at 0.0 Bohr magnetons per cell. The formation energy is 10.85 kcal/mol of atoms. Its density of states at the Fermi level is 7.97 states/eV/cell.

***

Entry 9:
Material: Er3UAg3S8
Method: DFT, PBE
State: relaxed

It has space group C2/m (No. 12), with a = 13.089 Å, b = 7.985 Å, c = 7.695 Å, α = 90.00°, β = 122.61° and γ = 90.00°. The asymmetric unit holds Er at (0.000, 0.000, 0.000), Er at (0.250, 0.250, 0.500), U at (0.000, 0.500, 0.000), Ag at (0.000, 0.500, 0.500), Ag at (0.250, 0.250, 0.000), S at (0.004, 0.251, 0.243), S at (0.245, 0.500, 0.255) and S at (0.247, 0.000, 0.255).

The total magnetization comes out at 4.0 Bohr magnetons per cell. For the energy relative to the elements, uncorrected, the calculation gives -1.29 eV/atom. Its density of states at the Fermi level is 11.97 states/eV/cell.

***

Entry 10:
Material: HfAu2S4
Method: DFT, PBE
State: relaxed

It has space group I4/mmm (No. 139), with a = 5.111 Å, b = 5.111 Å, c = 12.166 Å, α = 90.00°, β = 90.00° and γ = 90.00°. The asymmetric unit holds Hf at (0.000, 0.000, 0.000), Au at (0.000, 0.000, 0.390), S at (0.000, 0.000, 0.199) and S at (0.000, 0.500, 0.000).

The total magnetization comes out at 3.2 Bohr magnetons per cell. For the energy relative to the elements, uncorrected, the calculation gives -0.13 eV/atom. Its density of states at the Fermi level is 15.23 states/eV/cell.

***

Entry 11:
Material: CeCrP3
Method: DFT, PBE
State: relaxed

It has space group Pbcm (No. 57), with a = 11.911 Å, b = 5.210 Å, c = 5.406 Å, α = 90.00°, β = 90.00° and γ = 90.00°. The asymmetric unit holds Ce at (0.191, 0.001, 0.250), Cr at (0.423, 0.250, 0.000), P at (0.000, 0.250, 0.000), P at (0.301, 0.510, 0.250) and P at (0.428, 0.617, 0.750).

The total magnetization comes out at 5.0 Bohr magnetons per cell. The formation energy is -17.95 kcal/mol of atoms. Its density of states at the Fermi level is 20.28 states/eV/cell.

***

Entry 12:
Material: Er8Ge5Pt
Method: DFT, PBE
State: relaxed

It has space group I-4 (No. 82), with a = 8.702 Å, b = 8.702 Å, c = 8.821 Å, α = 90.00°, β = 90.00° and γ = 90.00°. The asymmetric unit holds Er at (0.065, 0.312, 0.056), Er at (0.068, 0.184, 0.689), Ge at (0.000, 0.500, 0.750), Ge at (0.125, 0.251, 0.374) and Pt at (0.000, 0.000, 0.000).

The total magnetization comes out at 0.0 Bohr magnetons per cell. The formation energy is -19.89 kcal/mol of atoms. Its density of states at the Fermi level is 12.77 states/eV/cell.